Entry from Alexandria via LeMat-Bulk: a relaxed structure of CaVOF2 (PBE with a Hubbard U).

Unit cell a=4.024 b=4.024 c=4.236 alpha=90.00 beta=90.00 gamma=90.00
Element x y z (fractional)
F  0.500  0.000  0.000
F  0.000  0.500  0.000
O  0.000  0.000  0.500
V  0.000  0.000  0.000
Ca  0.500  0.500  0.500

## Properties
E above lowest polymorph: 178 meV/atom
D(E_F): 0.04 states/eV per atom
Mass density: 3.51 g cm⁻³
Total magnetization: 3.00 μB per formula unit